Record 1
## NbGa3N (PBE-GGA)

Data for a geometry-optimized NbGa3N structure.

Symmetry: No. 221
Uncorrected formation energy: 528.1 meV per atom
Mass density: 6.98 g/cm3

a = 4.2211 Å, b = 4.2211 Å, c = 4.2211 Å
α = 90.00°, β = 90.00°, γ = 90.00°
Closest atoms and distances in Å follow each position.
Atoms (fractional coordinates):
Nb1 0.0000 0.0000 0.0000  12 Ga 2.98
Ga1 0.0000 0.5000 0.5000  2 N 2.11
Ga2 0.5000 0.0000 0.5000  2 N 2.11
Ga3 0.5000 0.5000 0.0000  2 N 2.11
N1 0.5000 0.5000 0.5000  6 Ga 2.11

Record 2
## NbGaN3 (PBE-GGA)

Data for a geometry-optimized NbGaN3 structure.

Symmetry: No. 221
Uncorrected formation energy: 652.7 meV per atom
Mass density: 4.86 g/cm3

a = 4.1196 Å, b = 4.1196 Å, c = 4.1196 Å
α = 90.00°, β = 90.00°, γ = 90.00°
Closest atoms and distances in Å follow each position.
Atoms (fractional coordinates):
Nb1 0.0000 0.0000 0.0000  6 N 2.06
Ga1 0.5000 0.5000 0.5000  12 N 2.91
N1 0.0000 0.0000 0.5000  2 Nb 2.06
N2 0.0000 0.5000 0.0000  2 Nb 2.06
N3 0.5000 0.0000 0.0000  2 Nb 2.06

Record 3
## Nb4Ga2N (PBE-GGA)

Data for a geometry-optimized Nb4Ga2N structure.

Symmetry: No. 227
Uncorrected formation energy: -547.3 meV per atom
Mass density: 8.17 g/cm3

a = 8.4533 Å, b = 8.4533 Å, c = 8.4533 Å
α = 60.00°, β = 60.00°, γ = 60.00°
Closest atoms and distances in Å follow each position.
Atoms (fractional coordinates):
Nb1 0.0000 0.0000 0.0000  6 Ga 2.66
Nb2 0.0000 0.0000 0.5000  6 Ga 2.66
Nb3 0.0000 0.5000 0.0000  6 Ga 2.66
Nb4 0.1780 0.1780 0.5720  2 N 2.28
Nb5 0.1780 0.5720 0.1780  2 N 2.28
Nb6 0.1780 0.5720 0.5720  2 N 2.28
Nb7 0.4280 0.4280 0.8220  2 N 2.28
Nb8 0.4280 0.8220 0.4280  2 N 2.28
Nb9 0.4280 0.8220 0.8220  2 N 2.28
Nb10 0.5000 0.0000 0.0000  6 Ga 2.66
Nb11 0.5720 0.1780 0.1780  2 N 2.28
Nb12 0.5720 0.1780 0.5720  2 N 2.28
Nb13 0.5720 0.5720 0.1780  2 N 2.28
Nb14 0.8220 0.4280 0.4280  2 N 2.28
Nb15 0.8220 0.4280 0.8220  2 N 2.28
Nb16 0.8220 0.8220 0.4280  2 N 2.28
Ga1 0.1547 0.7818 0.7818  9 Nb 2.66-2.96
Ga2 0.2182 0.2182 0.2182  9 Nb 2.66-2.96
Ga3 0.2182 0.2182 0.8453  9 Nb 2.66-2.96
Ga4 0.2182 0.8453 0.2182  9 Nb 2.66-2.96
Ga5 0.7818 0.1547 0.7818  9 Nb 2.66-2.96
Ga6 0.7818 0.7818 0.1547  9 Nb 2.66-2.96
Ga7 0.7818 0.7818 0.7818  9 Nb 2.66-2.96
Ga8 0.8453 0.2182 0.2182  9 Nb 2.66-2.96
N1 0.0000 0.5000 0.5000  6 Nb 2.28
N2 0.5000 0.0000 0.5000  6 Nb 2.28
N3 0.5000 0.5000 0.0000  6 Nb 2.28
N4 0.5000 0.5000 0.5000  6 Nb 2.28

Record 4
## Nb4Ga2N (PBE-GGA)

Data for a geometry-optimized Nb4Ga2N structure.

Symmetry: No. 55
Uncorrected formation energy: -509.0 meV per atom
Mass density: 7.77 g/cm3

a = 7.2253 Å, b = 9.9428 Å, c = 3.1251 Å
α = 90.00°, β = 90.00°, γ = 90.00°
Closest atoms and distances in Å follow each position.
Atoms (fractional coordinates):
Nb1 0.1387 0.1965 0.0000  1 N 2.20
Nb2 0.1786 0.9204 0.5000  2 N 2.18
Nb3 0.3214 0.4204 0.5000  2 N 2.18
Nb4 0.3613 0.6965 0.0000  1 N 2.20
Nb5 0.6387 0.3035 0.0000  1 N 2.20
Nb6 0.6786 0.5796 0.5000  2 N 2.18
Nb7 0.8214 0.0796 0.5000  2 N 2.18
Nb8 0.8613 0.8035 0.0000  1 N 2.20
Ga1 0.0613 0.6287 0.5000  1 Ga 2.71, 7 Nb 2.75-3.02
Ga2 0.4387 0.1287 0.5000  1 Ga 2.71, 7 Nb 2.75-3.02
Ga3 0.5613 0.8713 0.5000  1 Ga 2.71, 7 Nb 2.75-3.02
Ga4 0.9387 0.3713 0.5000  1 Ga 2.71, 7 Nb 2.75-3.02
N1 0.0000 0.0000 0.0000  6 Nb 2.18-2.20
N2 0.5000 0.5000 0.0000  6 Nb 2.18-2.20

Record 5
## Nb4Ga2N (PBE-GGA)

Data for a geometry-optimized Nb4Ga2N structure.

Symmetry: No. 139
Uncorrected formation energy: -289.7 meV per atom
Mass density: 7.39 g/cm3

a = 7.6143 Å, b = 7.6143 Å, c = 7.6143 Å
α = 148.81°, β = 148.81°, γ = 44.70°
Closest atoms and distances in Å follow each position.
Atoms (fractional coordinates):
Nb1 0.0000 0.5000 0.5000  2 N 2.05
Nb2 0.1631 0.1631 0.0000  1 N 2.30
Nb3 0.5000 0.0000 0.5000  2 N 2.05
Nb4 0.8369 0.8369 0.0000  1 N 2.30
Ga1 0.3532 0.3532 0.0000  9 Nb 2.68-2.91
Ga2 0.6468 0.6468 0.0000  9 Nb 2.68-2.91
N1 0.0000 0.0000 0.0000  4 Nb 2.05

Record 6
## Nb6Ga2N (PBE-GGA)

Data for a geometry-optimized Nb6Ga2N structure.

Symmetry: No. 14
Uncorrected formation energy: -365.1 meV per atom
Mass density: 7.97 g/cm3

a = 5.4501 Å, b = 6.5972 Å, c = 9.8183 Å
α = 90.00°, β = 122.91°, γ = 90.00°
Closest atoms and distances in Å follow each position.
Atoms (fractional coordinates):
Nb1 0.1121 0.1705 0.4577  1 N 2.23
Nb2 0.1121 0.3295 0.9577  1 N 2.23
Nb3 0.3008 0.7015 0.4531  1 N 2.17
Nb4 0.3008 0.7985 0.9531  1 N 2.17
Nb5 0.3357 0.0080 0.2383  1 N 2.21
Nb6 0.3357 0.4920 0.7383  1 N 2.21
Nb7 0.6643 0.5080 0.2617  1 N 2.21
Nb8 0.6643 0.9920 0.7617  1 N 2.21
Nb9 0.6992 0.2015 0.0469  1 N 2.17
Nb10 0.6992 0.2985 0.5469  1 N 2.17
Nb11 0.8879 0.6705 0.0423  1 N 2.23
Nb12 0.8879 0.8295 0.5423  1 N 2.23
Ga1 0.1927 0.1084 0.7584  8 Nb 2.61-2.77
Ga2 0.1927 0.3916 0.2584  8 Nb 2.61-2.77
Ga3 0.8073 0.6084 0.7416  8 Nb 2.61-2.77
Ga4 0.8073 0.8916 0.2416  8 Nb 2.61-2.77
N1 0.5000 0.0000 0.5000  6 Nb 2.17-2.23
N2 0.5000 0.5000 0.0000  6 Nb 2.17-2.23

Record 7
## NbGa3N (PBE-GGA)

Data for a geometry-optimized NbGa3N structure.

Symmetry: No. 221
Uncorrected formation energy: 1524.1 meV per atom
Mass density: 3.93 g/cm3

a = 5.1133 Å, b = 5.1133 Å, c = 5.1133 Å
α = 90.00°, β = 90.00°, γ = 90.00°
Closest atoms and distances in Å follow each position.
Atoms (fractional coordinates):
Nb1 0.0000 0.0000 0.0000  6 Ga 2.56
Ga1 0.0000 0.0000 0.5000  2 Nb 2.56
Ga2 0.0000 0.5000 0.0000  2 Nb 2.56
Ga3 0.5000 0.0000 0.0000  2 Nb 2.56
N1 0.5000 0.5000 0.5000  12 Ga 3.62

Record 8
## Nb4GaN (PBE-GGA)

Data for a geometry-optimized Nb4GaN structure.

Symmetry: No. 65
Uncorrected formation energy: -55.1 meV per atom
Mass density: 7.21 g/cm3

a = 5.6979 Å, b = 5.6979 Å, c = 3.2378 Å
α = 90.00°, β = 90.00°, γ = 94.05°
Closest atoms and distances in Å follow each position.
Atoms (fractional coordinates):
Nb1 0.2412 0.7588 0.0000  1 N 2.16
Nb2 0.3231 0.3231 0.5000  2 N 2.12
Nb3 0.6769 0.6769 0.5000  2 N 2.12
Nb4 0.7588 0.2412 0.0000  1 N 2.16
Ga1 0.0000 0.0000 0.5000  6 Nb 2.51-2.58
N1 0.5000 0.5000 0.0000  6 Nb 2.12-2.16

Record 9
## NbGaNO2 (PBE-GGA)

Data for a geometry-optimized NbGaNO2 structure.

Symmetry: No. 123
Uncorrected formation energy: -418.4 meV per atom
Mass density: 6.41 g/cm3

a = 3.6871 Å, b = 3.6871 Å, c = 3.9736 Å
α = 90.00°, β = 90.00°, γ = 90.00°
Closest atoms and distances in Å follow each position.
Atoms (fractional coordinates):
Nb1 0.0000 0.0000 0.0000  4 N 2.61, 8 O 2.71
Ga1 0.5000 0.5000 0.5000  4 O 1.84, 2 N 1.99
N1 0.5000 0.5000 0.0000  2 Ga 1.99
O1 0.0000 0.5000 0.5000  2 Ga 1.84
O2 0.5000 0.0000 0.5000  2 Ga 1.84

Record 10
## NbGaNO2 (PBE-GGA)

Data for a geometry-optimized NbGaNO2 structure.

Symmetry: No. 123
Uncorrected formation energy: -1061.6 meV per atom
Mass density: 5.17 g/cm3

a = 3.9565 Å, b = 3.9565 Å, c = 4.2824 Å
α = 90.00°, β = 90.00°, γ = 90.00°
Closest atoms and distances in Å follow each position.
Atoms (fractional coordinates):
Nb1 0.0000 0.0000 0.0000  4 O 1.98, 2 N 2.14
Ga1 0.5000 0.5000 0.5000  4 N 2.80, 8 O 2.92
N1 0.0000 0.0000 0.5000  2 Nb 2.14
O1 0.0000 0.5000 0.0000  2 Nb 1.98
O2 0.5000 0.0000 0.0000  2 Nb 1.98

Record 11
## NbGaP2N (PBE-GGA)

Data for a geometry-optimized NbGaP2N structure.

Symmetry: No. 123
Uncorrected formation energy: 415.3 meV per atom
Mass density: 4.04 g/cm3

a = 4.9565 Å, b = 4.9565 Å, c = 3.9955 Å
α = 90.00°, β = 90.00°, γ = 90.00°
Closest atoms and distances in Å follow each position.
Atoms (fractional coordinates):
Nb1 0.0000 0.0000 0.0000  2 N 2.00
Ga1 0.5000 0.5000 0.5000  8 P 3.18, 4 N 3.50
P1 0.0000 0.5000 0.0000  2 Nb 2.48
P2 0.5000 0.0000 0.0000  2 Nb 2.48
N1 0.0000 0.0000 0.5000  2 Nb 2.00

Record 12
## Pa2NbGaN5 (PBE-GGA)

Data for a geometry-optimized Pa2NbGaN5 structure.

Symmetry: No. 36
Uncorrected formation energy: -1112.9 meV per atom
Mass density: 10.31 g/cm3

a = 7.0709 Å, b = 7.0709 Å, c = 9.9289 Å
α = 90.00°, β = 90.00°, γ = 153.22°
Closest atoms and distances in Å follow each position.
Atoms (fractional coordinates):
Pa1 0.1220 0.8780 0.5000  7 N 2.36-2.51
Pa2 0.1336 0.8664 0.0878  6 N 2.37-2.55
Pa3 0.8664 0.1336 0.5878  6 N 2.37-2.55
Pa4 0.8780 0.1220 0.0000  7 N 2.36-2.51
Nb1 0.2140 0.7860 0.8007  6 N 2.08-2.26
Nb2 0.7860 0.2140 0.3007  6 N 2.08-2.26
Ga1 0.4867 0.5133 0.2777  4 N 1.90-2.06
Ga2 0.5133 0.4867 0.7777  4 N 1.90-2.06
N1 0.0549 0.9451 0.8558  2 Ga 1.90
N2 0.2898 0.7102 0.4518  2 Nb 2.22, 3 Pa 2.36-2.37
N3 0.3065 0.6935 0.1541  2 Nb 2.21, 3 Pa 2.45-2.47
N4 0.3653 0.6347 0.8107  1 Ga 2.06, 1 Nb 2.08
N5 0.4961 0.5039 0.5804  1 Ga 1.97
N6 0.5039 0.4961 0.0804  1 Ga 1.97
N7 0.6347 0.3653 0.3107  1 Ga 2.06, 1 Nb 2.08
N8 0.6935 0.3065 0.6541  2 Nb 2.21, 3 Pa 2.45-2.47
N9 0.7102 0.2898 0.9518  2 Nb 2.22, 3 Pa 2.36-2.37
N10 0.9451 0.0549 0.3558  2 Ga 1.90